# 1
Pm2Si2Ir | GGA-PBE | relaxed

a = 11.061 Å, b = 4.263 Å, c = 10.296 Å
α = 90.00°, β = 119.69°, γ = 90.00°
Space group C2/m (No. 12)
Unique sites:
Pm (0.010, 0.000, 0.178) [4 per cell]
Pm (0.184, 0.000, 0.603) [4 per cell]
Si (0.001, 0.500, 0.373) [4 per cell]
Si (0.154, 0.500, 0.069) [4 per cell]
Ir (0.223, 0.500, 0.878) [4 per cell]

Crystal system ... monoclinic
V ... 21.1 Å³ per atom
E ... -6.7279 eV/atom
Total magnetic moment ... 1.7 Bohr magnetons per cell
Formation energy (no corrections) ... -886 meV/atom

***

# 2
PmSi12Ir4 | GGA-PBE | relaxed

a = 8.352 Å, b = 8.352 Å, c = 8.352 Å
α = 90.00°, β = 90.00°, γ = 90.00°
Space group Im-3 (No. 204)
Unique sites:
Pm (0.000, 0.000, 0.000) [2 per cell]
Si (0.000, 0.355, 0.151) [24 per cell]
Ir (0.250, 0.250, 0.250) [8 per cell]

Crystal system ... cubic
V ... 17.1 Å³ per atom
E ... -6.5075 eV/atom
Total magnetic moment ... 0.0 Bohr magnetons per cell
Formation energy (no corrections) ... -315 meV/atom

***

# 3
Pm2Si5Ir | GGA-PBE | relaxed

a = 5.874 Å, b = 5.874 Å, c = 8.941 Å
α = 90.00°, β = 90.00°, γ = 90.00°
Space group I4mm (No. 107)
Unique sites:
Pm (0.000, 0.500, 0.000) [4 per cell]
Si (0.000, 0.000, 0.060) [2 per cell]
Si (0.209, 0.209, 0.259) [8 per cell]
Ir (0.000, 0.000, 0.797) [2 per cell]

Crystal system ... tetragonal
V ... 19.3 Å³ per atom
E ... -6.2383 eV/atom
Total magnetic moment ... 0.0 Bohr magnetons per cell
Formation energy (no corrections) ... -554 meV/atom

***

# 4
Pm6SiIr3 | GGA-PBE | relaxed

a = 11.515 Å, b = 4.230 Å, c = 11.978 Å
α = 90.00°, β = 108.03°, γ = 90.00°
Space group P2_1/m (No. 11)
Unique sites:
Pm (0.033, 0.250, 0.392) [2 per cell]
Pm (0.101, 0.250, 0.937) [2 per cell]
Pm (0.232, 0.750, 0.276) [2 per cell]
Pm (0.301, 0.750, 0.765) [2 per cell]
Pm (0.380, 0.250, 0.542) [2 per cell]
Pm (0.422, 0.750, 0.100) [2 per cell]
Si (0.453, 0.250, 0.309) [2 per cell]
Ir (0.064, 0.250, 0.167) [2 per cell]
Ir (0.189, 0.750, 0.507) [2 per cell]
Ir (0.345, 0.250, 0.925) [2 per cell]

Crystal system ... monoclinic
V ... 27.7 Å³ per atom
E ... -6.6282 eV/atom
Total magnetic moment ... 0.0 Bohr magnetons per cell
Formation energy (no corrections) ... -577 meV/atom

***

# 5
Pm2Si9Ir3 | GGA-PBE | relaxed

a = 12.781 Å, b = 6.999 Å, c = 11.378 Å
α = 90.00°, β = 112.41°, γ = 90.00°
Space group C2/c (No. 15)
Unique sites:
Pm (0.185, 0.101, 0.251) [8 per cell]
Si (0.000, 0.408, 0.250) [4 per cell]
Si (0.047, 0.103, 0.929) [8 per cell]
Si (0.101, 0.286, 0.771) [8 per cell]
Si (0.105, 0.435, 0.060) [8 per cell]
Si (0.241, 0.409, 0.441) [8 per cell]
Ir (0.065, 0.251, 0.451) [8 per cell]
Ir (0.250, 0.250, 0.000) [4 per cell]

Crystal system ... monoclinic
V ... 16.8 Å³ per atom
E ... -6.5439 eV/atom
Total magnetic moment ... 0.0 Bohr magnetons per cell
Formation energy (no corrections) ... -480 meV/atom

***

# 6
Pm4Si5Ir2 | GGA-PBE | relaxed

a = 6.925 Å, b = 4.293 Å, c = 8.088 Å
α = 90.00°, β = 92.72°, γ = 90.00°
Space group P2/m (No. 10)
Unique sites:
Pm (0.234, 0.000, 0.136) [2 per cell]
Pm (0.253, 0.000, 0.622) [2 per cell]
Si (0.108, 0.500, 0.885) [2 per cell]
Si (0.423, 0.500, 0.358) [2 per cell]
Si (0.500, 0.500, 0.000) [1 per cell]
Ir (0.081, 0.500, 0.366) [2 per cell]

Crystal system ... monoclinic
V ... 21.8 Å³ per atom
E ... -6.4628 eV/atom
Total magnetic moment ... 0.0 Bohr magnetons per cell
Formation energy (no corrections) ... -659 meV/atom